Entry from the Alexandria database: a relaxed TbPr4Ho crystal (PBE).

Geometry as POSCAR:
```
TbPr4Ho
1.0
-0.948 3.373 -0.251
-6.360 -2.155 -4.957
-4.919 -0.885 6.685
Tb Pr Ho
1 4 1
Direct
0.000 0.500 0.500
0.500 0.261 0.739
0.000 0.762 0.762
0.000 0.238 0.238
0.500 0.739 0.261
0.500 0.000 0.000
```

Output
**Formation energy from the elements**: 0.591 eV per atom
**ρ**: 6.0 Mg/m³
**Space-group type**: Cmmm
**V**: 40.79 Å³ per atom
**Raw total energy**: -4.13 eV/atom
**ΔE to the lowest computed polymorph**: 3.42 eV/f.u.